GeBi2O (PBE-GGA, optimized geometry); total moment = 0.0 Bohr magnetons per cell; E_form (uncorrected) = -183 meV per atom
1.0
-0.979 -2.347 -5.188
5.057 -2.778 0.303
-0.948 -7.687 0.440
Ge Bi O
2 4 2
Cartesian
0.000 0.000 0.000 Ge
0.056 -6.298 -3.595 Ge
-0.138 -3.547 -2.678 Bi
2.723 -4.140 -0.766 Bi
1.225 -7.910 -1.478 Bi
2.451 -10.026 -3.969 Bi
2.039 -2.563 -2.442 O
3.074 -6.514 -0.850 O

GeBi2O5 (PBE-GGA, optimized geometry); total moment = 0.0 Bohr magnetons per cell; E_form (uncorrected) = -1343 meV per atom
1.0
5.639 -0.226 -0.061
-0.226 5.639 -0.062
-2.751 -2.751 4.408
Ge Bi O
1 2 5
Cartesian
2.591 2.592 4.122 Ge
0.145 2.818 1.423 Bi
2.818 0.145 1.423 Bi
4.272 1.140 0.125 O
1.200 1.200 0.218 O
4.335 4.336 0.841 O
1.139 4.272 0.124 O
2.331 2.331 2.396 O

GeBiO4 (PBE-GGA, optimized geometry); total moment = 0.0 Bohr magnetons per cell; E_form (uncorrected) = -1259 meV per atom
1.0
-1.059 4.857 -1.030
-3.569 -1.477 -3.294
-1.594 -1.648 6.378
Ge Bi O
2 2 8
Cartesian
-2.314 1.690 -2.162 Ge
-3.739 -0.718 0.461 Ge
0.000 0.000 0.000 Bi
-2.484 2.449 1.593 Bi
-3.862 -1.894 -0.898 O
-2.429 -0.980 4.341 O
-4.134 1.050 2.740 O
-2.362 0.445 0.469 O
-3.691 0.527 -2.170 O
-3.513 -1.726 1.938 O
-5.218 0.304 0.337 O
-2.191 2.866 -0.802 O

GeBi2O5 (PBE-GGA, optimized geometry); total moment = 0.0 Bohr magnetons per cell; E_form (uncorrected) = -1418 meV per atom
1.0
6.695 0.000 2.475
2.769 7.530 2.802
0.008 -0.401 10.270
Ge Bi O
4 8 20
Cartesian
6.267 0.344 5.575 Ge
3.080 3.220 3.902 Ge
6.393 3.908 11.644 Ge
3.206 6.785 9.971 Ge
3.738 0.193 8.209 Bi
4.999 0.367 12.151 Bi
6.403 2.796 8.354 Bi
6.591 4.158 5.019 Bi
2.881 2.971 10.527 Bi
3.069 4.333 7.192 Bi
4.473 6.761 3.395 Bi
5.734 6.936 7.337 Bi
6.299 0.276 3.794 O
1.938 -0.038 6.549 O
5.804 0.336 9.150 O
3.600 1.560 3.560 O
6.440 2.004 6.173 O
2.988 0.652 10.573 O
3.851 2.512 8.244 O
1.946 3.289 5.276 O
2.343 3.927 2.454 O
5.063 2.828 11.156 O
4.410 4.301 4.390 O
7.129 3.201 13.093 O
7.526 3.840 10.270 O
5.622 4.617 7.303 O
6.484 6.477 4.973 O
3.033 5.125 9.373 O
5.873 5.568 11.986 O
3.668 6.792 6.396 O
7.534 7.167 8.997 O
3.173 6.852 11.752 O